# CaGaGe

A relaxed CaGaGe crystal (PBE, Alexandria via LeMat-Bulk).

Summary:
The calculation puts the final energy at -3.5866 eV/atom. The formation energy from the elements is -0.37 eV/atom.

Structure (POSCAR):
```
CaGaGe
1.0
4.698 0.000 0.000
-2.349 4.069 0.000
0.000 0.000 3.402
Ca Ga Ge
1 1 1
direct
0.000 0.000 0.000
0.333 0.667 0.501
0.667 0.333 0.499
```